Record 1
BeSi5 | PBE-GGA | relaxed

a b c (Å): 4.7363 4.7363 4.8463
angles (deg): 90.00 90.00 120.00
Space group P6/mmm (No. 191)
Inequivalent atoms, fractional coordinates:
1 Be 0.0000 0.0000 0.0000
2 Si 0.0000 0.5000 0.5000
3 Si 0.3333 0.6667 0.0000

Summary:
Formation energy from raw total energies, eV per atom: 0.718
DOS at the Fermi energy, states/eV/cell: 2.696
Uncorrected energy, eV per atom: -4.42

Record 2
AlHPd3 | PBE-GGA | relaxed

a b c (Å): 4.9780 4.9780 18.7425
angles (deg): 90.00 90.00 120.00
Space group R-3 (No. 148, hexagonal axes)
Inequivalent atoms, fractional coordinates:
1 Al 0.0000 0.0000 0.1666
2 H 0.0000 0.0000 0.4296
3 Pd 0.9998 0.3393 0.6028

Summary:
DOS at the Fermi energy, states/eV/cell: 10.947
Uncorrected energy, eV per atom: -4.93

| no. | magnetization (μB/cell) |
| --- | --- |
| 1 | 0.00 |
| 2 | 0.00 |